This record from Alexandria via LeMat-Bulk describes CeYHg4 after structural relaxation. The functional is PBE.

The space group is Pmmm (No. 47) and the conventional cell measures 3.423, 5.032 and 8.698 Å, with angles of 90.00, 90.00 and 90.00 degrees. The inequivalent atoms are Ce at (0.000, 0.000, 0.000), Y at (0.000, 0.500, 0.500), Hg at (0.500, 0.000, 0.336) and Hg at (0.500, 0.500, 0.170).

For the theoretical density, the calculation gives 11.4 g/cm3. The calculated volume is 25.0 A^3/atom. As for the magnetic moment: 0.192 μB per atom. The calculation puts the density of states at the Fermi level at 7.521 states/eV per cell. The calculation puts the formation enthalpy at 0 K at -378 meV/atom. Its energy above the most stable polymorph in this dataset is 0 meV/atom.


This record from Alexandria via LeMat-Bulk describes CeY3Hg4 after structural relaxation. The functional is PBE.

The space group is P4/mmm (No. 123) and the conventional cell measures 5.284, 5.284 and 7.615 Å, with angles of 90.00, 90.00 and 90.00 degrees. The inequivalent atoms are Ce at (0.000, 0.000, 0.000), Y at (0.000, 0.000, 0.500), Y at (0.500, 0.500, 0.000), Y at (0.500, 0.500, 0.500) and Hg at (0.000, 0.500, 0.259).

For the theoretical density, the calculation gives 9.4 g/cm3. The calculated volume is 26.6 A^3/atom. As for the magnetic moment: 0.242 μB per atom. The calculation puts the density of states at the Fermi level at 15.209 states/eV per cell. The calculation puts the formation enthalpy at 0 K at -441 meV/atom.


This record from Alexandria via LeMat-Bulk describes CeYHg4 after structural relaxation. The functional is PBE.

The space group is P-1 (No. 2) and the conventional cell measures 3.882, 5.702 and 8.041 Å, with angles of 70.05, 89.94 and 70.26 degrees. The inequivalent atoms are Ce at (0.000, 0.000, 0.000), Y at (0.000, 0.000, 0.500), Hg at (0.331, 0.338, 0.657) and Hg at (0.332, 0.337, 0.176).

For the theoretical density, the calculation gives 11.0 g/cm3. The calculated volume is 26.0 A^3/atom. As for the magnetic moment: 0.257 μB per atom. The calculation puts the density of states at the Fermi level at 9.352 states/eV per cell. The calculation puts the formation enthalpy at 0 K at -307 meV/atom. Its energy above the most stable polymorph in this dataset is 71 meV/atom.


This record from Alexandria via LeMat-Bulk describes CeY5Hg6 after structural relaxation. The functional is PBE.

The space group is P2/m (No. 10) and the conventional cell measures 5.279, 7.542 and 8.375 Å, with angles of 90.00, 108.27 and 90.00 degrees. The inequivalent atoms are Ce at (0.000, 0.000, 0.000), Y at (0.000, 0.500, 0.000), Y at (0.333, 0.000, 0.665), Y at (0.337, 0.500, 0.672), Hg at (0.169, 0.256, 0.340) and Hg at (0.500, 0.256, 0.000).

For the theoretical density, the calculation gives 9.4 g/cm3. The calculated volume is 26.4 A^3/atom. As for the magnetic moment: 0.160 μB per atom. The calculation puts the density of states at the Fermi level at 19.069 states/eV per cell. The calculation puts the formation enthalpy at 0 K at -464 meV/atom.


This record from Alexandria via LeMat-Bulk describes Ce2YHg after structural relaxation. The functional is PBE.

The space group is R-3m (No. 166, hexagonal axes) and the conventional cell measures 3.2597, 3.2597 and 35.8807 Å, with angles of 90.00, 90.00 and 120.00 degrees. The inequivalent atoms are Ce at (0.0000, 0.0000, 0.0897), Y at (0.0000, 0.0000, 0.0000) and Hg at (0.0000, 0.0000, 0.5000).

For the theoretical density, the calculation gives 8.6 g/cm3. The calculated volume is 27.5 A^3/atom. As for the magnetic moment: 0.000 μB per atom. The calculation puts the density of states at the Fermi level at 28.824 states/eV per cell. The calculation puts the formation enthalpy at 0 K at 103 meV/atom. Its energy above the most stable polymorph in this dataset is 219 meV/atom.


This record from Alexandria via LeMat-Bulk describes CeYHg after structural relaxation. The functional is PBE.

The space group is P3m1 (No. 156) and the conventional cell measures 5.2277, 5.2277 and 3.5749 Å, with angles of 90.00, 90.00 and 120.00 degrees. The inequivalent atoms are Ce at (0.0000, 0.0000, 0.0000), Y at (0.6667, 0.3333, 0.5704) and Hg at (0.3333, 0.6667, 0.3551).

For the theoretical density, the calculation gives 8.4 g/cm3. The calculated volume is 28.2 A^3/atom. As for the magnetic moment: 0.368 μB per atom. The calculation puts the density of states at the Fermi level at 7.239 states/eV per cell. The calculation puts the formation enthalpy at 0 K at -89 meV/atom. Its energy above the most stable polymorph in this dataset is 172 meV/atom.


This record from Alexandria via LeMat-Bulk describes CeYHg4 after structural relaxation. The functional is PBE.

The space group is F-43m (No. 216) and the conventional cell measures 8.481, 8.481 and 8.481 Å, with angles of 90.00, 90.00 and 90.00 degrees. The inequivalent atoms are Ce at (0.000, 0.000, 0.000), Y at (0.250, 0.250, 0.750) and Hg at (0.125, 0.125, 0.375).

For the theoretical density, the calculation gives 11.2 g/cm3. The calculated volume is 25.4 A^3/atom. As for the magnetic moment: 0.191 μB per atom. The calculation puts the density of states at the Fermi level at 39.117 states/eV per cell. The calculation puts the formation enthalpy at 0 K at -199 meV/atom. Its energy above the most stable polymorph in this dataset is 179 meV/atom.


This record from Alexandria via LeMat-Bulk describes CeYHg3 after structural relaxation. The functional is PBE.

The space group is Cmcm (No. 63) and the conventional cell measures 3.549, 29.457 and 4.991 Å, with angles of 90.00, 90.00 and 90.00 degrees. The inequivalent atoms are Ce at (0.000, 0.076, 0.250), Y at (0.000, 0.211, 0.750), Hg at (0.000, 0.318, 0.750), Hg at (0.000, 0.377, 0.250) and Hg at (0.000, 0.476, 0.250).

For the theoretical density, the calculation gives 10.6 g/cm3. The calculated volume is 26.1 A^3/atom. As for the magnetic moment: 0.254 μB per atom. The calculation puts the density of states at the Fermi level at 33.293 states/eV per cell. The calculation puts the formation enthalpy at 0 K at -386 meV/atom.


This record from Alexandria via LeMat-Bulk describes CeY2Hg8 after structural relaxation. The functional is PBE.

The space group is Immm (No. 71) and the conventional cell measures 5.149, 7.422 and 14.771 Å, with angles of 90.00, 90.00 and 90.00 degrees. The inequivalent atoms are Ce at (0.000, 0.000, 0.000), Y at (0.000, 0.000, 0.309), Hg at (0.000, 0.206, 0.500), Hg at (0.000, 0.288, 0.152) and Hg at (0.000, 0.500, 0.344).

For the theoretical density, the calculation gives 11.3 g/cm3. The calculated volume is 25.7 A^3/atom. As for the magnetic moment: 0.093 μB per atom. The calculation puts the density of states at the Fermi level at 23.781 states/eV per cell. The calculation puts the formation enthalpy at 0 K at -290 meV/atom.


This record from Alexandria via LeMat-Bulk describes CeY2Hg4 after structural relaxation. The functional is PBE.

The space group is P4/mmm (No. 123) and the conventional cell measures 5.265, 5.265 and 7.227 Å, with angles of 90.00, 90.00 and 90.00 degrees. The inequivalent atoms are Ce at (0.000, 0.000, 0.000), Y at (0.000, 0.000, 0.500), Y at (0.500, 0.500, 0.000) and Hg at (0.000, 0.500, 0.267).

For the theoretical density, the calculation gives 9.3 g/cm3. The calculated volume is 28.6 A^3/atom. As for the magnetic moment: 0.186 μB per atom. The calculation puts the density of states at the Fermi level at 10.797 states/eV per cell. The calculation puts the formation enthalpy at 0 K at -274 meV/atom.


This record from Alexandria via LeMat-Bulk describes Ce2YHg after structural relaxation. The functional is PBE.

The space group is P4/mmm (No. 123) and the conventional cell measures 4.501, 4.501 and 5.318 Å, with angles of 90.00, 90.00 and 90.00 degrees. The inequivalent atoms are Ce at (0.000, 0.500, 0.000), Y at (0.000, 0.000, 0.500) and Hg at (0.500, 0.500, 0.500).

For the theoretical density, the calculation gives 8.8 g/cm3. The calculated volume is 26.9 A^3/atom. As for the magnetic moment: 0.390 μB per atom. The calculation puts the density of states at the Fermi level at 10.876 states/eV per cell. The calculation puts the formation enthalpy at 0 K at -116 meV/atom. Its energy above the most stable polymorph in this dataset is 0 meV/atom.


This record from Alexandria via LeMat-Bulk describes CeYHg after structural relaxation. The functional is PBE.

The space group is I4mm (No. 107) and the conventional cell measures 3.582, 3.582 and 13.447 Å, with angles of 90.00, 90.00 and 90.00 degrees. The inequivalent atoms are Ce at (0.000, 0.000, 0.000), Y at (0.000, 0.000, 0.308) and Hg at (0.000, 0.000, 0.663).

For the theoretical density, the calculation gives 8.3 g/cm3. The calculated volume is 28.7 A^3/atom. As for the magnetic moment: 0.436 μB per atom. The calculation puts the density of states at the Fermi level at 14.718 states/eV per cell. The calculation puts the formation enthalpy at 0 K at -208 meV/atom. Its energy above the most stable polymorph in this dataset is 52 meV/atom.


> Which of these has the lowest theoretical density?

number 12